1.
YNb2Rh2 | PBE | relaxed

## Properties
The space group is I4/mmm. Its calculated volume is 104.1 Å³ per cell. The energy above the lowest structure with this stoichiometry is 254 meV/atom. The formation energy is -0.12 eV/atom.

Lattice parameters (Å, degrees): 4.6616 4.6616 5.8139 66.37 66.37 90.00
Fractional coordinates of all 5 atoms:
1 Y 0.0000 0.0000 0.0000
2 Rh 0.2500 0.7500 0.5000
3 Rh 0.7500 0.2500 0.5000
4 Nb 0.3628 0.3628 0.2745
5 Nb 0.6372 0.6372 0.7255

---

2.
Y2Nb2Rh | PBE | relaxed

## Properties
The space group is P4/mbm. Its calculated volume is 227.9 Å³ per cell. The formation energy is 0.01 eV/atom.

Lattice parameters (Å, degrees): 6.7214 6.7214 5.0440 90.00 90.00 90.00
Fractional coordinates of all 10 atoms:
1 Y 0.3304 0.1696 0.5000
2 Y 0.8304 0.3304 0.5000
3 Y 0.1696 0.6696 0.5000
4 Y 0.6696 0.8304 0.5000
5 Nb 0.6408 0.1408 0.0000
6 Nb 0.8592 0.6408 0.0000
7 Nb 0.1408 0.3592 0.0000
8 Nb 0.3592 0.8592 0.0000
9 Rh 0.5000 0.5000 0.0000
10 Rh 0.0000 0.0000 0.0000

---

3.
YNb2Rh2 | PBE | relaxed

## Properties
The space group is P4/mbm. Its calculated volume is 184.9 Å³ per cell. The energy above the lowest structure with this stoichiometry is 112 meV/atom. The formation energy is -0.26 eV/atom.

Lattice parameters (Å, degrees): 8.0220 8.0220 2.8731 90.00 90.00 90.00
Fractional coordinates of all 10 atoms:
1 Nb 0.8786 0.6214 0.0000
2 Nb 0.6214 0.1214 0.0000
3 Nb 0.1214 0.3786 0.0000
4 Nb 0.3786 0.8786 0.0000
5 Rh 0.3261 0.1739 0.5000
6 Rh 0.1739 0.6739 0.5000
7 Rh 0.8261 0.3261 0.5000
8 Rh 0.6739 0.8261 0.5000
9 Y 0.5000 0.5000 0.0000
10 Y 0.0000 0.0000 0.0000

---

no.,total energy (eV for the cell shown)
1,-41.88
2,-80.72
3,-85.18